PBE+U NdTi2MoO8, optimized geometry; space group = C2/m (12); final energy = -8.270 eV per atom; volume = 162 Å³/cell
1.0
4.8992 0.3526 0.2593
0.4049 4.8952 0.2580
0.3606 0.3589 6.8385
O Mo Ti Nd
8 1 2 1
Direct
0.7768 0.2156 0.7790 O
0.7455 0.7458 0.0549 O
0.2545 0.2542 0.9451 O
0.7846 0.2234 0.2210 O
0.2154 0.7766 0.7790 O
0.2232 0.7844 0.2210 O
0.6729 0.6731 0.4921 O
0.3271 0.3269 0.5079 O
0.0000 0.0000 0.0000 Mo
0.4417 0.4416 0.7255 Ti
0.5583 0.5584 0.2745 Ti
0.0000 0.0000 0.5000 Nd